# Li7Mg2Ag2, relaxed, DFT PBE-GGA
data_Li7Mg2Ag2
_chemical_formula_sum 'Li7 Mg2 Ag2'
_cell_length_a 5.0335
_cell_length_b 6.5462
_cell_length_c 6.7941
_cell_angle_alpha 106.73
_cell_angle_beta 105.41
_cell_angle_gamma 97.77
_symmetry_space_group_name_H-M 'P -1'
_symmetry_Int_Tables_number 2
loop_
_symmetry_equiv_pos_as_xyz
'x,y,z'
'-x,-y,-z'
loop_
_atom_site_label
_atom_site_fract_x
_atom_site_fract_y
_atom_site_fract_z
Li1 0.0000 0.0000 0.0000
Li2 0.1757 0.6273 0.7161
Li3 0.2608 0.4572 0.0875
Li4 0.4404 0.0898 0.8154
Mg1 0.3656 0.2525 0.4596
Ag1 0.0791 0.8063 0.3487
# Energy relative to the elements: -0.1180 eV per atom
# Distance to the lowest polymorph of the same formula: 0.000 eV per atom